The following is a DFT calculation (GGA-PBE) of a geometry-optimized TlBi4S6 structure.

Calculated values
Total magnetization (μB/f.u.): 0.000
Formation energy (no corrections) (meV/atom): -329

Geometry as POSCAR:
```
TlBi4S6
1.0
4.3113 0.0000 0.0000
-2.1556 6.6873 0.0000
0.0000 0.0000 20.8468
Tl Bi S
2 8 12
Cartesian
2.1556 2.1111 5.2117 Tl
0.0000 4.5761 15.6351 Tl
2.1556 4.8868 11.3280 Bi
0.0000 5.4002 2.8104 Bi
0.0000 1.8004 9.5188 Bi
2.1556 1.2871 18.0364 Bi
2.1556 4.8868 19.9422 Bi
0.0000 1.8004 0.9046 Bi
2.1556 1.2871 13.2338 Bi
0.0000 5.4002 7.6130 Bi
2.1556 0.0000 0.0000 S
2.1556 0.0000 10.4234 S
0.0000 0.3753 7.1589 S
2.1556 6.3120 13.6879 S
2.1556 6.3120 17.5823 S
0.0000 0.3753 3.2645 S
2.1556 3.4704 8.7136 S
0.0000 3.2169 12.1332 S
0.0000 3.2169 19.1370 S
2.1556 3.4704 1.7098 S
0.0000 4.2636 5.2117 S
2.1556 2.4237 15.6351 S
```